The following is a PBE calculation of a relaxed Mg2CuIr crystal, from Alexandria via LeMat-Bulk.

Output
**DOS at the Fermi energy**: 0.42 states/eV per atom
**Spin magnetization**: 0.0 μB per formula unit
**Crystal system**: tetragonal
**ΔH_f (0 K)**: -1.0 eV per formula unit

a = 4.4025 Å, b = 4.4025 Å, c = 3.1549 Å
α = 90.00°, β = 90.00°, γ = 90.00°
Space group P4/mmm (No. 123)
Symmetry-distinct sites (fractional):
Mg 0.0000 0.5000 0.0000 [2 per cell]
Cu 0.0000 0.0000 0.5000 [1 per cell]
Ir 0.5000 0.5000 0.5000 [1 per cell]